Er2Tl3CrSe6: relaxed, PBE-GGA.

Structure (extended XYZ):
```
12
Lattice="6.981 0.001 0.001 -3.488 6.047 0.001 -1.163 -2.013 7.738" Properties=species:S:1:pos:R:3 pbc="T T T"
Se 0.177 4.036 6.249
Se -0.083 -0.143 6.184
Se 3.407 2.170 6.249
Se 2.413 4.178 1.557
Se 2.153 -0.001 1.492
Se -1.077 1.864 1.492
Tl 4.561 0.056 3.870
Tl -2.231 3.979 3.870
Tl 1.165 2.017 3.870
Er 3.485 2.020 0.001
Er 0.008 4.028 0.001
Cr 0.000 0.000 0.000
```

Properties
magnetic moment: 3.01 μB per formula unit
V: 326.7 Å³ per cell
space group: C2/m
formation energy (no corrections): -1.04 eV per atom
VASP energy: -4.940 eV per atom